Entry 1:
# PrNd2IrPd2Pb3 | OQMD | PBE-GGA | relaxed
data_PrNd2IrPd2Pb3
_space_group_name_H-M_alt 'P 1'
_space_group_IT_number 1
_cell_length_a 4.016
_cell_length_b 7.916
_cell_length_c 7.916
_cell_angle_alpha 119.99
_cell_angle_beta 90.00
_cell_angle_gamma 90.00
loop_
_space_group_symop_operation_xyz
'x,y,z'
loop_
_atom_site_label
_atom_site_type_symbol
_atom_site_fract_x
_atom_site_fract_y
_atom_site_fract_z
Ir1 Ir 0.000 0.001 0.001
Nd1 Nd 0.000 0.402 0.000
Nd2 Nd 0.000 0.000 0.402
Pb1 Pb 0.500 0.742 0.001
Pb2 Pb 0.500 0.258 0.258
Pb3 Pb 0.500 0.001 0.742
Pd1 Pd 0.500 0.667 0.332
Pd2 Pd 0.500 0.332 0.667
Pr1 Pr 0.000 0.597 0.597
# Space-group type: Amm2 (38)
# Size of the total moment (Bohr magnetons per cell): 0.00
# E (eV per atom): -5.617

***

Entry 2:
# Nd2IrPd | OQMD | PBE-GGA | relaxed
data_Nd2IrPd
_space_group_name_H-M_alt 'P 1'
_space_group_IT_number 1
_cell_length_a 4.505
_cell_length_b 5.754
_cell_length_c 5.754
_cell_angle_alpha 39.70
_cell_angle_beta 90.00
_cell_angle_gamma 90.00
loop_
_space_group_symop_operation_xyz
'x,y,z'
loop_
_atom_site_label
_atom_site_type_symbol
_atom_site_fract_x
_atom_site_fract_y
_atom_site_fract_z
Ir1 Ir 0.000 0.087 0.087
Nd1 Nd 0.000 0.361 0.361
Nd2 Nd 0.500 0.637 0.637
Pd1 Pd 0.500 0.916 0.916
# Space-group type: Amm2 (38)
# Size of the total moment (Bohr magnetons per cell): 0.00
# Energy of formation from the pure elements (kJ/mol of formula units): -285

***

Q: What is the formula in the first record?
A: PrNd2IrPd2Pb3